ScAlCu2 PBE-GGA optimized geometry; E = -35.85 eV/cell; formation enthalpy at 0 K = 0.085 eV per atom; space-group type = I-42d (122)
1.0
-2.035 2.035 8.555
2.035 -2.035 8.555
2.035 2.035 -8.555
Sc Al Cu
2 2 4
Cartesian
0.000 0.000 0.000
0.000 2.035 4.277
2.035 0.000 4.277
0.000 0.000 8.555
1.017 -0.711 6.416
1.324 1.017 2.139
1.017 2.745 -2.139
0.711 1.017 10.693